Here is a relaxed structure of YAlTc2 from OQMD via LeMat-Bulk. Energies are from PBE-GGA.

Output
Total DFT energy (no corrections) ... -7.686 eV/atom
Space-group type ... No. 216

Geometry as POSCAR:
```
YAlTc2
1.0
0.0000 3.2621 3.2621
3.2621 0.0000 3.2621
3.2621 3.2621 0.0000
Y Al Tc
1 1 2
Direct
0.0000 0.0000 0.0000
0.7500 0.7500 0.7500
0.2500 0.2500 0.2500
0.5000 0.5000 0.5000
```